VASP calculation (PBE-GGA) on crystalline Cr2CdCo at its relaxed geometry.

a b c (Å): 4.3272 4.3272 4.3272
angles (deg): 60.00 60.00 60.00
Sites, in units of the cell vectors:
1 Cd 0.5000 0.5000 0.5000
2 Co 0.7500 0.7500 0.7500
3 Cr 0.0000 0.0000 0.0000
4 Cr 0.2500 0.2500 0.2500

Values from the calculation:
Energy of formation from the pure elements ... 0.46 eV per atom
Space group ... F-43m
Density ... 8.0 g/cm3